Entry from Alexandria: Tl2CuRuCl6 after structural relaxation (PBE-GGA).

Results
D(E_F) = 0.9059 states/eV/atom
V = 495.65 Å³ per cell
ΔE_f (raw) = -15.4 kcal/mol of atoms

Cell: 6.9979 6.9979 12.3656 Å, 73.56 73.56 60.00°
Closest atoms and distances in Å follow each position.
Element x y z (fractional)
Tl: 0.8758 0.8758 0.3727  12 Cl 3.50-3.59
Tl: 0.1242 0.1242 0.6273  12 Cl 3.50-3.59
Tl: 0.7010 0.7010 0.8971  9 Cl 3.32-3.50
Tl: 0.2990 0.2990 0.1029  9 Cl 3.32-3.50
Cu: 0.5853 0.5853 0.2440  6 Cl 2.49-2.53
Cu: 0.4147 0.4147 0.7560  6 Cl 2.49-2.53
Ru: 0.0000 0.0000 0.0000  6 Cl 2.41
Ru: 0.5000 0.5000 0.5000  6 Cl 2.39
Cl: 0.8577 0.3817 0.3789  1 Ru 2.39, 1 Cu 2.49
Cl: 0.3817 0.8577 0.3789  1 Ru 2.39, 1 Cu 2.49
Cl: 0.3817 0.3817 0.3789  1 Ru 2.39, 1 Cu 2.49
Cl: 0.1423 0.6183 0.6211  1 Ru 2.39, 1 Cu 2.49
Cl: 0.6183 0.1423 0.6211  1 Ru 2.39, 1 Cu 2.49
Cl: 0.6183 0.6183 0.6211  1 Ru 2.39, 1 Cu 2.49
Cl: 0.7140 0.2025 0.8811  1 Ru 2.41, 1 Cu 2.53
Cl: 0.2025 0.7140 0.8811  1 Ru 2.41, 1 Cu 2.53
Cl: 0.2025 0.2025 0.8811  1 Ru 2.41, 1 Cu 2.53
Cl: 0.2860 0.7975 0.1189  1 Ru 2.41, 1 Cu 2.53
Cl: 0.7975 0.2860 0.1189  1 Ru 2.41, 1 Cu 2.53
Cl: 0.7975 0.7975 0.1189  1 Ru 2.41, 1 Cu 2.53